[1]
{
  "formula": "CsMg3Pt",
  "functional": "PBE-GGA",
  "state": "optimized geometry",
  "cell": [[5.297, 0.000, 0.000], [0.000, 5.297, 0.000], [0.000, 0.000, 5.297]],
  "species": ["Mg", "Mg", "Mg", "Pt", "Cs"],
  "frac_coords": [[0.000, 0.500, 0.000], [0.000, 0.000, 0.500], [0.500, 0.000, 0.000], [0.000, 0.000, 0.000], [0.500, 0.500, 0.500]],
  "space_group": "Pm-3m",
  "ef_ev_per_fu": -1.10,
  "e_tot_ev_per_cell": -12.778,
  "dos_ef_per_ev_cell": 2.2
}

---

[2]
{
  "formula": "Na2Zn2O3",
  "functional": "PBE-GGA",
  "state": "optimized geometry",
  "cell": [[-2.206, -5.495, 0.637], [5.453, -2.082, 0.925], [2.079, -0.178, 5.667]],
  "species": ["O", "Na", "Zn", "Zn", "O", "Zn", "Zn", "Na", "O", "O", "O", "Na", "Na", "O"],
  "frac_coords": [[0.911, 0.642, 0.746], [0.345, 0.864, 0.904], [0.878, 0.659, 0.080], [0.378, 0.341, 0.420], [0.000, 0.000, 0.000], [0.622, 0.659, 0.580], [0.122, 0.341, 0.920], [0.655, 0.136, 0.096], [0.589, 0.642, 0.246], [0.089, 0.358, 0.254], [0.500, 0.000, 0.500], [0.155, 0.864, 0.404], [0.845, 0.136, 0.596], [0.411, 0.358, 0.754]],
  "space_group": "P2_1/c",
  "raw_formation_energy_ev_per_atom": -1.40,
  "polymorph_energy_ev_per_atom": 0.003,
  "e_tot_ev_per_cell": -59.781
}

---

[3]
{
  "formula": "Ac5Sn3Rh3",
  "functional": "PBE-GGA",
  "state": "optimized geometry",
  "cell": [[-3.198, -2.518, 1.070], [2.756, -6.445, -6.932], [3.632, -0.733, 9.135]],
  "species": ["Ac", "Ac", "Rh", "Ac", "Rh", "Ac", "Ac", "Rh", "Sn", "Sn", "Sn"],
  "frac_coords": [[0.500, 0.000, 0.755], [0.500, 0.333, 0.667], [0.500, 0.000, 0.310], [0.500, 0.245, 0.245], [0.500, 0.310, 0.000], [0.500, 0.755, 0.000], [0.500, 0.667, 0.333], [0.500, 0.690, 0.690], [0.000, 0.526, 0.526], [0.000, 0.474, 0.000], [0.000, 0.000, 0.474]],
  "space_group": "P-62m",
  "ef_ev_per_fu": -5.38,
  "e_tot_ev_per_cell": -59.983,
  "dos_ef_per_ev_cell": 3.1
}

---

[4]
{
  "formula": "Pr4ErTl5",
  "functional": "PBE-GGA",
  "state": "optimized geometry",
  "cell": [[3.837, 0.000, 0.000], [0.000, 3.837, 0.000], [0.000, 0.000, 20.148]],
  "species": ["Tl", "Tl", "Tl", "Tl", "Er", "Tl", "Pr", "Pr", "Pr", "Pr"],
  "frac_coords": [[0.500, 0.500, 0.705], [0.500, 0.500, 0.295], [0.500, 0.500, 0.090], [0.500, 0.500, 0.500], [0.000, 0.000, 0.000], [0.500, 0.500, 0.910], [0.000, 0.000, 0.398], [0.000, 0.000, 0.808], [0.000, 0.000, 0.602], [0.000, 0.000, 0.192]],
  "space_group": "P4/mmm",
  "ef_ev_per_fu": -3.82,
  "e_tot_ev_per_cell": -39.330,
  "dos_ef_per_ev_cell": 8.2
}

---

[5]
{
  "formula": "Pm2Sm3Dy2",
  "functional": "PBE-GGA",
  "state": "optimized geometry",
  "cell": [[3.534, 0.000, 0.000], [0.000, 8.604, -0.780], [-1.767, -3.586, 8.079]],
  "species": ["Sm", "Sm", "Pm", "Dy", "Sm", "Pm", "Dy"],
  "frac_coords": [[0.788, 0.202, 0.575], [0.212, 0.798, 0.425], [0.435, 0.089, 0.869], [0.852, 0.668, 0.704], [0.000, 0.500, 0.000], [0.565, 0.911, 0.131], [0.148, 0.332, 0.296]],
  "space_group": "C2/m",
  "ef_ev_per_fu": 0.80,
  "polymorph_energy_ev_per_atom": 0.099,
  "e_tot_ev_per_cell": -32.066,
  "dos_ef_per_ev_cell": 10.6
}

---

[6]
{
  "formula": "MgNi3Sb",
  "functional": "PBE-GGA",
  "state": "optimized geometry",
  "cell": [[5.124, 0.000, 0.000], [0.000, 6.491, 0.000], [-2.562, -3.246, 5.185]],
  "species": ["Sb", "Ni", "Ni", "Ni", "Sb", "Ni", "Ni", "Mg", "Ni", "Mg"],
  "frac_coords": [[0.000, 0.500, 0.000], [0.250, 0.740, 0.500], [0.117, 0.117, 0.733], [0.750, 0.260, 0.500], [0.500, 0.000, 0.000], [0.883, 0.883, 0.267], [0.617, 0.117, 0.733], [0.750, 0.668, 0.500], [0.383, 0.883, 0.267], [0.250, 0.332, 0.500]],
  "space_group": "Imma",
  "raw_formation_energy_ev_per_atom": -0.05,
  "polymorph_energy_ev_per_atom": 0.000,
  "e_tot_ev_per_cell": -46.647,
  "dos_ef_per_ev_cell": 6.0
}

---

[7]
{
  "formula": "RbNiPt3",
  "functional": "PBE-GGA",
  "state": "optimized geometry",
  "cell": [[-3.417, 2.998, 1.395], [-2.694, -1.362, -3.674], [-1.917, -3.431, 2.678]],
  "species": ["Ni", "Pt", "Rb", "Pt", "Pt"],
  "frac_coords": [[0.000, 0.000, 0.000], [0.500, 0.000, 0.000], [0.500, 0.500, 0.500], [0.000, 0.500, 0.000], [0.000, 0.000, 0.500]],
  "space_group": "Pm-3m",
  "ef_ev_per_fu": 3.41,
  "polymorph_energy_ev_per_atom": 0.000,
  "e_tot_ev_per_cell": -21.466,
  "dos_ef_per_ev_cell": 15.6
}

---

[8]
{
  "formula": "NaMgInHg",
  "functional": "PBE-GGA",
  "state": "optimized geometry",
  "cell": [[-4.807, -1.778, 0.034], [-1.057, -4.569, -2.069], [-1.250, -3.951, 3.016]],
  "species": ["Mg", "In", "Na", "Hg"],
  "frac_coords": [[0.500, 0.500, 0.500], [0.250, 0.250, 0.250], [0.000, 0.000, 0.000], [0.750, 0.750, 0.750]],
  "space_group": "F-43m",
  "ef_ev_per_fu": -0.54,
  "polymorph_energy_ev_per_atom": 0.040,
  "e_tot_ev_per_cell": -6.497,
  "dos_ef_per_ev_cell": 1.7
}

---

[9]
{
  "formula": "LaSc4Ag5",
  "functional": "PBE-GGA",
  "state": "optimized geometry",
  "cell": [[3.463, 0.000, 0.000], [0.000, 3.463, 0.000], [0.000, 0.000, 17.975]],
  "species": ["Sc", "Ag", "Ag", "La", "Sc", "Sc", "Ag", "Ag", "Ag", "Sc"],
  "frac_coords": [[0.000, 0.000, 0.595], [0.500, 0.500, 0.309], [0.500, 0.500, 0.874], [0.000, 0.000, 0.000], [0.000, 0.000, 0.214], [0.000, 0.000, 0.405], [0.500, 0.500, 0.126], [0.500, 0.500, 0.500], [0.500, 0.500, 0.691], [0.000, 0.000, 0.786]],
  "space_group": "P4/mmm",
  "ef_ev_per_fu": -2.65,
  "e_tot_ev_per_cell": -47.164,
  "dos_ef_per_ev_cell": 6.8
}

---

[10]
{
  "formula": "La5SmTm",
  "functional": "PBE-GGA",
  "state": "optimized geometry",
  "cell": [[6.109, 0.000, 1.460], [3.054, 8.889, 0.730], [-0.327, 0.000, 9.196]],
  "species": ["La", "Tm", "La", "Tm", "La", "La", "La", "Sm", "La", "La", "La", "La", "La", "Sm"],
  "frac_coords": [[0.983, 0.629, 0.648], [0.489, 0.021, 0.250], [0.242, 0.302, 0.966], [0.511, 0.979, 0.750], [0.389, 0.629, 0.852], [0.860, 0.280, 0.750], [0.611, 0.371, 0.148], [0.000, 0.000, 0.000], [0.544, 0.698, 0.466], [0.758, 0.698, 0.034], [0.140, 0.720, 0.250], [0.456, 0.302, 0.534], [0.017, 0.371, 0.352], [0.000, 0.000, 0.500]],
  "space_group": "C2/c",
  "ef_ev_per_fu": 1.12,
  "e_tot_ev_per_cell": -65.420,
  "dos_ef_per_ev_cell": 22.2
}

---

[11]
{
  "formula": "CaZr2Cr2",
  "functional": "PBE-GGA",
  "state": "optimized geometry",
  "cell": [[8.121, 0.000, 0.000], [0.000, 8.121, 0.000], [0.000, 0.000, 3.223]],
  "species": ["Zr", "Cr", "Cr", "Cr", "Zr", "Cr", "Ca", "Ca", "Zr", "Zr"],
  "frac_coords": [[0.349, 0.151, 0.500], [0.636, 0.136, 0.000], [0.864, 0.636, 0.000], [0.136, 0.364, 0.000], [0.651, 0.849, 0.500], [0.364, 0.864, 0.000], [0.500, 0.500, 0.000], [0.000, 0.000, 0.000], [0.849, 0.349, 0.500], [0.151, 0.651, 0.500]],
  "space_group": "P4/mbm",
  "ef_ev_per_fu": 1.82,
  "e_tot_ev_per_cell": -73.059,
  "dos_ef_per_ev_cell": 10.4
}

---

[12]
{
  "formula": "CrIr4Ru",
  "functional": "PBE-GGA",
  "state": "optimized geometry",
  "cell": [[-4.249, -0.485, 1.911], [-3.102, -1.046, -3.345], [-1.411, -4.215, 1.536]],
  "species": ["Ir", "Ir", "Ru", "Cr", "Ir", "Ir"],
  "frac_coords": [[0.835, 0.000, 0.831], [0.165, 0.000, 0.169], [0.000, 0.500, 0.500], [0.500, 0.000, 0.500], [0.664, 0.500, 0.173], [0.336, 0.500, 0.827]],
  "space_group": "C2/m",
  "ef_ev_per_fu": -0.57,
  "polymorph_energy_ev_per_atom": 0.000,
  "e_tot_ev_per_cell": -54.909,
  "dos_ef_per_ev_cell": 7.0
}

---

What is the formula in the fifth record?
Pm2Sm3Dy2